Record 1
# GGA-PBE Ir2Pb, optimized geometry
data_Ir2Pb
_space_group_name_H-M_alt 'P 1'
_space_group_IT_number 1
_cell_length_a 8.0740
_cell_length_b 8.0740
_cell_length_c 8.0740
_cell_angle_alpha 150.44
_cell_angle_beta 150.44
_cell_angle_gamma 42.30
loop_
_space_group_symop_operation_xyz
'x,y,z'
loop_
_atom_site_label
_atom_site_fract_x
_atom_site_fract_y
_atom_site_fract_z
Ir1 0.2955 0.5455 0.7500
Ir2 0.4545 0.7045 0.7500
Ir3 0.5455 0.2955 0.2500
Ir4 0.7045 0.4545 0.2500
Pb1 0.1250 0.8750 0.2500
Pb2 0.8750 0.1250 0.7500
# Energy above the lowest structure with this stoichiometry = 0.243 eV per atom
# Space-group type = No. 141



Record 2
# GGA-PBE IrPb4, optimized geometry
data_IrPb4
_space_group_name_H-M_alt 'P 1'
_space_group_IT_number 1
_cell_length_a 5.6446
_cell_length_b 5.6446
_cell_length_c 5.6446
_cell_angle_alpha 103.48
_cell_angle_beta 103.48
_cell_angle_gamma 122.25
loop_
_space_group_symop_operation_xyz
'x,y,z'
loop_
_atom_site_label
_atom_site_fract_x
_atom_site_fract_y
_atom_site_fract_z
Ir1 0.0000 0.0000 0.0000
Pb1 0.1925 0.3610 0.5535
Pb2 0.3610 0.8075 0.1685
Pb3 0.6390 0.1925 0.8315
Pb4 0.8075 0.6390 0.4465
# Space-group type = No. 87



Record 3
# GGA-PBE Ir2Pb, optimized geometry
data_Ir2Pb
_space_group_name_H-M_alt 'P 1'
_space_group_IT_number 1
_cell_length_a 4.6099
_cell_length_b 4.6099
_cell_length_c 5.7492
_cell_angle_alpha 90.00
_cell_angle_beta 90.00
_cell_angle_gamma 120.00
loop_
_space_group_symop_operation_xyz
'x,y,z'
loop_
_atom_site_label
_atom_site_fract_x
_atom_site_fract_y
_atom_site_fract_z
Ir1 0.0000 0.0000 0.0000
Ir2 0.0000 0.0000 0.5000
Ir3 0.3333 0.6667 0.2500
Ir4 0.6667 0.3333 0.7500
Pb1 0.3333 0.6667 0.7500
Pb2 0.6667 0.3333 0.2500
# Energy above the lowest structure with this stoichiometry = 0.280 eV per atom
# Space-group type = No. 194



Record 4
# GGA-PBE Ir2Pb, optimized geometry
data_Ir2Pb
_space_group_name_H-M_alt 'P 1'
_space_group_IT_number 1
_cell_length_a 6.2097
_cell_length_b 6.2097
_cell_length_c 6.2097
_cell_angle_alpha 150.58
_cell_angle_beta 150.58
_cell_angle_gamma 42.09
loop_
_space_group_symop_operation_xyz
'x,y,z'
loop_
_atom_site_label
_atom_site_fract_x
_atom_site_fract_y
_atom_site_fract_z
Ir1 0.1930 0.1930 0.0000
Ir2 0.8070 0.8070 0.0000
Pb1 0.5000 0.5000 0.0000
# Energy above the lowest structure with this stoichiometry = 0.276 eV per atom
# Space-group type = No. 139



Record 5
# GGA-PBE Ir4Pb5, optimized geometry
data_Ir4Pb5
_space_group_name_H-M_alt 'P 1'
_space_group_IT_number 1
_cell_length_a 8.3597
_cell_length_b 8.3597
_cell_length_c 6.3626
_cell_angle_alpha 90.00
_cell_angle_beta 90.00
_cell_angle_gamma 120.00
loop_
_space_group_symop_operation_xyz
'x,y,z'
loop_
_atom_site_label
_atom_site_fract_x
_atom_site_fract_y
_atom_site_fract_z
Ir1 0.0000 0.0000 0.0000
Ir2 0.0000 0.0000 0.5000
Ir3 0.0000 0.4019 0.2500
Ir4 0.0000 0.5981 0.7500
Ir5 0.4019 0.0000 0.2500
Ir6 0.4019 0.4019 0.7500
Ir7 0.5981 0.0000 0.7500
Ir8 0.5981 0.5981 0.2500
Pb1 0.0000 0.2728 0.7500
Pb2 0.0000 0.7272 0.2500
Pb3 0.2728 0.0000 0.7500
Pb4 0.2728 0.2728 0.2500
Pb5 0.3333 0.6667 0.0000
Pb6 0.3333 0.6667 0.5000
Pb7 0.6667 0.3333 0.0000
Pb8 0.6667 0.3333 0.5000
Pb9 0.7272 0.0000 0.2500
Pb10 0.7272 0.7272 0.7500
# Space-group type = No. 193



Record 6
# GGA-PBE IrPb3, optimized geometry
data_IrPb3
_space_group_name_H-M_alt 'P 1'
_space_group_IT_number 1
_cell_length_a 9.6126
_cell_length_b 9.6126
_cell_length_c 9.6126
_cell_angle_alpha 151.29
_cell_angle_beta 151.29
_cell_angle_gamma 41.04
loop_
_space_group_symop_operation_xyz
'x,y,z'
loop_
_atom_site_label
_atom_site_fract_x
_atom_site_fract_y
_atom_site_fract_z
Ir1 0.1528 0.1528 0.0000
Ir2 0.8472 0.8472 0.0000
Pb1 0.0000 0.5000 0.5000
Pb2 0.2500 0.7500 0.5000
Pb3 0.3763 0.3763 0.0000
Pb4 0.5000 0.0000 0.5000
Pb5 0.6237 0.6237 0.0000
Pb6 0.7500 0.2500 0.5000
# Energy above the lowest structure with this stoichiometry = 0.217 eV per atom
# Space-group type = No. 139



Number 1: energy of formation 0.566 eV per atom. Number 2: energy of formation 0.318 eV per atom. Number 3: energy of formation 0.603 eV per atom. Number 4: energy of formation 0.599 eV per atom. Number 5: energy of formation 0.573 eV per atom. Number 6: energy of formation 0.448 eV per atom.